(1)
Here is an optimized crystal structure of Pm6Nd2Er3 from Alexandria via LeMat-Bulk. Energies are from PBE-GGA.

```
Pm6Nd2Er3
1.0
-2.3966 2.3966 16.9533
2.3966 -2.3966 16.9533
2.3966 2.3966 -16.9533
Pm Nd Er
6 2 3
direct
0.1221 0.6221 0.5000
0.1997 0.1997 0.0000
0.3779 0.8779 0.5000
0.6221 0.1221 0.5000
0.8003 0.8003 0.0000
0.8779 0.3779 0.5000
0.0455 0.0455 0.0000
0.9545 0.9545 0.0000
0.3010 0.3010 0.0000
0.5000 0.5000 0.0000
0.6990 0.6990 0.0000
```

**Density**: 7.08 g cm⁻³
**Excess energy over the best structure of this formula in the dataset**: 0.0 meV per atom
**Electronic total energy**: -4.42 eV/atom
**ΔE_f**: 0.282 eV per atom
**D(E_F)**: 1.43 states/eV/atom


(2)
Here is an optimized crystal structure of SmGaAg from Alexandria via LeMat-Bulk. Energies are from PBE-GGA.

```
SmGaAg
1.0
0.0000 3.3350 3.3350
3.3350 0.0000 3.3350
3.3350 3.3350 0.0000
Sm Ga Ag
1 1 1
direct
0.0000 0.0000 0.0000
0.7500 0.7500 0.7500
0.5000 0.5000 0.5000
```

**Density**: 7.34 g cm⁻³
**Electronic total energy**: -3.75 eV/atom
**ΔE_f**: -0.220 eV per atom
**D(E_F)**: 1.71 states/eV/atom


(3)
Here is an optimized crystal structure of Tb2HoErSe5 from Alexandria via LeMat-Bulk. Energies are from PBE-GGA.

```
Tb2HoErSe5
1.0
5.1097 0.0000 0.0000
0.0000 5.1097 0.0000
0.0000 0.0000 10.6690
Tb Ho Er Se
2 1 1 5
direct
0.0000 0.0000 0.1636
0.0000 0.0000 0.8364
0.5000 0.5000 0.5000
0.5000 0.5000 0.0000
0.0000 0.0000 0.5000
0.0000 0.5000 0.0000
0.5000 0.0000 0.0000
0.5000 0.5000 0.2535
0.5000 0.5000 0.7465
```

**Density**: 6.23 g cm⁻³
**Energy relative to the elements, uncorrected**: -110 kJ per mole of atoms
**Electronic total energy**: -5.12 eV/atom
**D(E_F)**: 0.61 states/eV/atom


(4)
Here is an optimized crystal structure of Mn2VHW from Alexandria via LeMat-Bulk. Energies are from PBE-GGA.

```
Mn2VHW
1.0
3.7286 0.0000 0.0000
0.0000 3.7286 0.0000
0.0000 0.0000 3.7249
Mn V H W
2 1 1 1
direct
0.0000 0.5000 0.0000
0.5000 0.0000 0.0000
0.0000 0.0000 0.5000
0.0000 0.0000 0.0000
0.5000 0.5000 0.5000
```

**Density**: 11.08 g cm⁻³
**Electronic total energy**: -8.64 eV/atom
**D(E_F)**: 1.07 states/eV/atom


(5)
Here is an optimized crystal structure of Pm12BiRu6 from Alexandria via LeMat-Bulk. Energies are from PBE-GGA.

```
Pm12BiRu6
1.0
-5.0724 5.0724 5.0724
5.0724 -5.0724 5.0724
5.0724 5.0724 -5.0724
Pm Bi Ru
12 1 6
direct
0.1038 0.8038 0.3000
0.1962 0.3000 0.4962
0.1962 0.7000 0.8962
0.3000 0.1038 0.8038
0.3000 0.4962 0.1962
0.4962 0.1962 0.3000
0.5038 0.8038 0.7000
0.7000 0.5038 0.8038
0.7000 0.8962 0.1962
0.8038 0.3000 0.1038
0.8038 0.7000 0.5038
0.8962 0.1962 0.7000
0.0000 0.0000 0.0000
0.1208 0.6208 0.5000
0.3792 0.5000 0.8792
0.5000 0.1208 0.6208
0.5000 0.8792 0.3792
0.6208 0.5000 0.1208
0.8792 0.3792 0.5000
```

**Density**: 8.13 g cm⁻³
**Electronic total energy**: -6.38 eV/atom
**ΔE_f**: -0.250 eV per atom
**D(E_F)**: 0.94 states/eV/atom


(6)
Here is an optimized crystal structure of Sr2HgPt from Alexandria via LeMat-Bulk. Energies are from PBE-GGA.

```
Sr2HgPt
1.0
4.6364 0.0000 0.0000
0.0000 2.2367 5.8284
0.0000 -2.2367 5.8284
Sr Hg Pt
2 1 1
direct
0.0000 0.0000 0.0000
0.5000 0.2816 0.2816
0.5000 0.5716 0.5716
0.0000 0.7199 0.7199
```

**Density**: 7.84 g cm⁻³
**Electronic total energy**: -3.08 eV/atom
**ΔE_f**: -0.653 eV per atom
**D(E_F)**: 0.70 states/eV/atom


(7)
Here is an optimized crystal structure of SrCd11Rh from Alexandria via LeMat-Bulk. Energies are from PBE-GGA.

```
SrCd11Rh
1.0
2.8322 -7.2587 0.0000
2.8322 7.2587 0.0000
-2.7963 0.0000 7.1822
Sr Cd Rh
1 11 1
direct
0.0000 0.0000 0.0000
0.0000 0.0000 0.5000
0.0000 0.5000 0.0000
0.0276 0.3665 0.3637
0.3002 0.5082 0.7819
0.3665 0.0276 0.3637
0.4918 0.6998 0.2181
0.5000 0.0000 0.0000
0.5082 0.3002 0.7819
0.6335 0.9724 0.6363
0.6998 0.4918 0.2181
0.9724 0.6335 0.6363
0.5000 0.5000 0.5000
```

**Density**: 8.02 g cm⁻³
**Electronic total energy**: -1.61 eV/atom
**ΔE_f**: -0.145 eV per atom
**D(E_F)**: 0.46 states/eV/atom


(8)
Here is an optimized crystal structure of SrDyHg from Alexandria via LeMat-Bulk. Energies are from PBE-GGA.

```
SrDyHg
1.0
-1.9327 1.9327 6.7314
1.9327 -1.9327 6.7314
1.9327 1.9327 -6.7314
Sr Dy Hg
1 1 1
direct
0.0000 0.0000 0.0000
0.2766 0.2766 0.0000
0.6671 0.6671 0.0000
```

**Density**: 7.44 g cm⁻³
**Excess energy over the best structure of this formula in the dataset**: 0.0 meV per atom
**Electronic total energy**: -2.46 eV/atom
**ΔE_f**: -0.269 eV per atom
**D(E_F)**: 0.92 states/eV/atom


(9)
Here is an optimized crystal structure of Zn3Pt5 from Alexandria via LeMat-Bulk. Energies are from PBE-GGA.

```
Zn3Pt5
1.0
5.0119 -5.2738 0.0000
5.0119 5.2738 0.0000
-1.6839 0.0000 4.6438
Zn Pt
6 10
direct
0.0006 0.9994 0.7500
0.2067 0.4446 0.2261
0.4446 0.2067 0.7261
0.5554 0.7933 0.2739
0.7933 0.5554 0.7739
0.9994 0.0006 0.2500
0.0887 0.3359 0.6460
0.1420 0.7184 0.9546
0.2816 0.8580 0.5454
0.3359 0.0887 0.1460
0.4350 0.5650 0.7500
0.5650 0.4350 0.2500
0.6641 0.9113 0.8540
0.7184 0.1420 0.4546
0.8580 0.2816 0.0454
0.9113 0.6641 0.3540
```

**Density**: 15.85 g cm⁻³
**Electronic total energy**: -4.58 eV/atom
**ΔE_f**: -0.330 eV per atom
**D(E_F)**: 0.45 states/eV/atom


(10)
Here is an optimized crystal structure of ZnNi2 from Alexandria via LeMat-Bulk. Energies are from PBE-GGA.

```
ZnNi2
1.0
6.2520 -1.2983 0.0000
6.2520 1.2983 0.0000
-0.2684 0.0000 4.3076
Zn Ni
2 4
direct
0.0000 0.0000 0.0000
0.1705 0.1705 0.4396
0.3342 0.3342 0.8154
0.5001 0.5001 0.5050
0.6701 0.6701 0.9391
0.8363 0.8363 0.3147
```

**Density**: 8.68 g cm⁻³
**Electronic total energy**: -4.42 eV/atom
**ΔE_f**: -0.137 eV per atom
**D(E_F)**: 1.23 states/eV/atom


(11)
Here is an optimized crystal structure of Na2LiTiAs from Alexandria via LeMat-Bulk. Energies are from PBE-GGA.

```
Na2LiTiAs
1.0
4.5439 0.0000 0.0000
0.0000 4.5439 0.0000
0.0000 0.0000 5.2200
Na Li Ti As
2 1 1 1
direct
0.0000 0.5000 0.0000
0.5000 0.0000 0.0000
0.0000 0.0000 0.0000
0.0000 0.0000 0.5000
0.5000 0.5000 0.5000
```

**Density**: 2.71 g cm⁻³
**Electronic total energy**: -2.78 eV/atom
**ΔE_f**: 0.641 eV per atom
**D(E_F)**: 0.67 states/eV/atom


(12)
Here is an optimized crystal structure of Mg6Hg5Sb from Alexandria via LeMat-Bulk. Energies are from PBE-GGA.

```
Mg6Hg5Sb
1.0
7.7572 -3.5312 0.0000
7.7572 3.5312 0.0000
-1.6457 0.0000 4.8125
Mg Hg Sb
6 5 1
direct
0.0747 0.5874 0.3286
0.2408 0.7592 0.0000
0.4126 0.9253 0.6714
0.5874 0.0747 0.3286
0.7592 0.2408 0.0000
0.9253 0.4126 0.6714
0.0000 0.0000 0.5000
0.1683 0.1683 0.1688
0.3344 0.3344 0.8312
0.6656 0.6656 0.1688
0.8317 0.8317 0.8312
0.5000 0.5000 0.5000
```

**Density**: 8.00 g cm⁻³
**Energy relative to the elements, uncorrected**: -21 kJ per mole of atoms
**Electronic total energy**: -1.48 eV/atom
**D(E_F)**: 0.21 states/eV/atom